## BaNa3Co (PBE)

Data for crystalline BaNa3Co at its relaxed geometry.

Geometry as POSCAR:
```
BaNa3Co
1.0
5.647 0.000 0.000
0.000 5.647 0.000
0.000 0.000 5.647
Ba Na Co
1 3 1
Cartesian
0.000 0.000 0.000
0.000 2.824 2.824
2.824 0.000 2.824
2.824 2.824 0.000
2.824 2.824 2.824
```

Results
DOS at the Fermi energy   4.30 states/eV/cell
Symmetry   Pm-3m (221)
Energy of formation   0.552 eV per atom
Magnetization   1.38 μB per cell

***

## Ba2Ga3SnAu4 (PBE)

Data for crystalline Ba2Ga3SnAu4 at its relaxed geometry.

Geometry as POSCAR:
```
Ba2Ga3SnAu4
1.0
4.772 0.000 0.000
0.000 4.772 0.000
0.000 0.000 10.754
Ba Ga Sn Au
2 3 1 4
Cartesian
0.000 2.386 2.631
2.386 0.000 8.123
0.000 2.386 9.513
2.386 0.000 1.241
2.386 2.386 5.377
0.000 0.000 5.377
0.000 0.000 0.000
0.000 2.386 6.866
2.386 0.000 3.888
2.386 2.386 0.000
```

Results
DOS at the Fermi energy   4.99 states/eV/cell
Symmetry   P-4m2 (115)
Energy of formation   -0.582 eV per atom
Magnetization   0.00 μB per cell

***

## Tb2Bi2O (PBE)

Data for crystalline Tb2Bi2O at its relaxed geometry.

Geometry as POSCAR:
```
Tb2Bi2O
1.0
6.776 -2.060 0.000
6.776 2.060 0.000
-6.402 0.000 9.517
Tb Bi O
4 4 2
Cartesian
-0.792 0.000 1.849
-1.046 0.000 5.508
8.195 0.000 4.009
7.942 0.000 7.668
-1.085 0.000 8.884
3.913 0.000 3.206
3.237 0.000 6.311
8.234 0.000 0.633
0.355 0.000 3.745
6.795 0.000 5.772
```

Results
DOS at the Fermi energy   3.58 states/eV/cell
Symmetry   C2/m (12)
Calculated total energy   -6.020 eV/atom
Magnetization   0.00 μB per cell

***

> Which of these has the lowest DOS at the Fermi energy?

Tb2Bi2O